No. 1
Material: Al7Ag5
Method: DFT, PBE-GGA
State: optimized geometry

CIF file:
```
data_Al7Ag5
_chemical_formula_sum 'Al14 Ag10'
_space_group_name_H-M_alt 'C 1 2 1'
_space_group_IT_number 5
_cell_length_a 9.294
_cell_length_b 8.688
_cell_length_c 5.149
_cell_angle_alpha 90.00
_cell_angle_beta 101.57
_cell_angle_gamma 90.00
loop_
_space_group_symop_operation_xyz
'x,y,z'
'-x,y,-z'
'x+1/2,y+1/2,z'
'-x+1/2,y+1/2,-z'
loop_
_atom_site_label
_atom_site_type_symbol
_atom_site_fract_x
_atom_site_fract_y
_atom_site_fract_z
_atom_site_occupancy
Al1 Al 0.000 0.000 0.000 1
Al2 Al 0.000 0.162 0.500 1
Al3 Al 0.000 0.330 0.000 1
Al4 Al 0.000 0.498 0.500 1
Al5 Al 0.000 0.668 0.000 1
Al6 Al 0.249 0.169 0.250 1
Ag1 Ag 0.000 0.826 0.500 1
Ag2 Ag 0.244 0.338 0.751 1
Ag3 Ag 0.244 0.503 0.245 1
```

ρ in g/cm³: 5.9
Calculated formation energy in eV per atom: -0.002
Energy relative to the lowest polymorph listed for this composition in eV/atom: 0.027

---

No. 2
Material: Al3Ag
Method: DFT, PBE-GGA
State: optimized geometry

CIF file:
```
data_Al3Ag
_chemical_formula_sum 'Al6 Ag2'
_space_group_name_H-M_alt 'P 1 2/c 1'
_space_group_IT_number 13
_cell_length_a 5.040
_cell_length_b 5.625
_cell_length_c 5.043
_cell_angle_alpha 90.00
_cell_angle_beta 108.95
_cell_angle_gamma 90.00
loop_
_space_group_symop_operation_xyz
'x,y,z'
'-x,-y,-z'
'-x,y,-z+1/2'
'x,-y,z+1/2'
loop_
_atom_site_label
_atom_site_type_symbol
_atom_site_fract_x
_atom_site_fract_y
_atom_site_fract_z
_atom_site_occupancy
Al1 Al 0.000 0.120 0.250 1
Al2 Al 0.000 0.374 0.750 1
Al3 Al 0.500 0.129 0.750 1
Ag1 Ag 0.500 0.365 0.250 1
```

ρ in g/cm³: 4.6
Calculated formation energy in eV per atom: -0.011

---

Number 1: calculated total energy -0.1239 hartree per atom. Number 2: calculated total energy -0.1297 hartree per atom.